Entry 1:
# GGA-PBE Cs2NdMgBr6, relaxed
data_Cs2NdMgBr6
_symmetry_space_group_name_H-M 'C 1 2/m 1'
_symmetry_Int_Tables_number 12
_symmetry_space_group_name_Hall '-C 2y'
_cell_length_a 11.356
_cell_length_b 11.358
_cell_length_c 8.027
_cell_angle_alpha 90.00
_cell_angle_beta 134.95
_cell_angle_gamma 90.00
loop_
_atom_site_label
_atom_site_fract_x
_atom_site_fract_y
_atom_site_fract_z
Cs1 0.000 0.250 0.000
Nd1 0.000 0.000 0.500
Mg1 0.000 0.500 0.500
Br1 0.000 0.261 0.500
Br2 0.239 0.500 0.500
Br3 0.239 0.500 0.978
# Formation energy from raw total energies ... -1.59 eV/atom

***

Entry 2:
# GGA-PBE CdP, relaxed
data_CdP
_symmetry_space_group_name_H-M 'P 63/m'
_symmetry_Int_Tables_number 176
_symmetry_space_group_name_Hall '-P 6c'
_cell_length_a 8.8831
_cell_length_b 8.8831
_cell_length_c 4.9380
_cell_angle_alpha 90.00
_cell_angle_beta 90.00
_cell_angle_gamma 120.00
loop_
_atom_site_label
_atom_site_fract_x
_atom_site_fract_y
_atom_site_fract_z
Cd1 0.1355 0.7181 0.2500
P1 0.0165 0.6184 0.7500
# Calculated formation energy ... 338 meV/atom

***

Entry 3:
# GGA-PBE Li3Dy3TaSe8, relaxed
data_Li3Dy3TaSe8
_symmetry_space_group_name_H-M 'R -3 m'
_symmetry_Int_Tables_number 166
_symmetry_space_group_name_Hall '-R 3 2"'
_cell_length_a 7.9673
_cell_length_b 7.9673
_cell_length_c 19.5847
_cell_angle_alpha 90.00
_cell_angle_beta 90.00
_cell_angle_gamma 120.00
loop_
_atom_site_label
_atom_site_fract_x
_atom_site_fract_y
_atom_site_fract_z
Li1 0.0000 0.5000 0.0000
Dy1 0.0000 0.5000 0.5000
Ta1 0.0000 0.0000 0.5000
Se1 0.0000 0.0000 0.2525
Se2 0.0232 0.5116 0.2473
# Formation energy from raw total energies ... -1.46 eV/atom

***

Entry 4:
# GGA-PBE LaGdTm2, relaxed
data_LaGdTm2
_symmetry_space_group_name_H-M 'F m -3 m'
_symmetry_Int_Tables_number 225
_symmetry_space_group_name_Hall '-F 4 2 3'
_cell_length_a 8.067
_cell_length_b 8.067
_cell_length_c 8.067
_cell_angle_alpha 90.00
_cell_angle_beta 90.00
_cell_angle_gamma 90.00
loop_
_atom_site_label
_atom_site_fract_x
_atom_site_fract_y
_atom_site_fract_z
La1 0.000 0.000 0.000
Gd1 0.000 0.000 0.500
Tm1 0.250 0.250 0.250
# Calculated formation energy ... 84 meV/atom